No. 1
{
  "formula": "Pm3CoPt",
  "functional": "PBE",
  "state": "relaxed",
  "e_form_ev_per_atom": -0.518,
  "space_group": "P2_1/m",
  "crystal_system": "monoclinic",
  "lattice": [[-1.110, -3.620, 1.127], [3.497, -3.189, -6.800], [5.375, 0.293, 6.232]],
  "species": ["Pm", "Pm", "Pm", "Pm", "Pm", "Pm", "Co", "Co", "Pt", "Pt"],
  "fractional_positions": [[0.750, 0.642, 0.404], [0.250, 0.358, 0.596], [0.750, 0.317, 0.950], [0.250, 0.930, 0.773], [0.250, 0.683, 0.050], [0.750, 0.070, 0.227], [0.250, 0.947, 0.440], [0.750, 0.053, 0.560], [0.250, 0.348, 0.224], [0.750, 0.652, 0.776]]
}

***

No. 2
{
  "formula": "Pr3GdOs",
  "functional": "PBE",
  "state": "relaxed",
  "e_form_ev_per_atom": 0.152,
  "space_group": "Pm-3m",
  "crystal_system": "cubic",
  "lattice": [[-5.082, 0.569, 2.410], [-1.735, -4.744, -2.539], [1.767, -3.022, 4.439]],
  "species": ["Pr", "Pr", "Pr", "Gd", "Os"],
  "fractional_positions": [[0.000, 0.500, 0.000], [0.000, 0.000, 0.500], [0.500, 0.000, 0.000], [0.500, 0.500, 0.500], [0.000, 0.000, 0.000]]
}

***

No. 3
{
  "formula": "MgBe2Mo",
  "functional": "PBE",
  "state": "relaxed",
  "e_form_ev_per_atom": 0.526,
  "space_group": "Immm",
  "crystal_system": "orthorhombic",
  "lattice": [[4.996, 0.002, -0.001], [2.184, 4.493, 0.001], [-2.993, -3.201, 2.399]],
  "species": ["Be", "Be", "Mo", "Mg"],
  "fractional_positions": [[0.995, 0.995, 0.000], [0.505, 0.505, 0.000], [0.750, 0.250, 0.500], [0.250, 0.750, 0.500]]
}

***

no.,energy (eV/atom),M_tot (μB/cell),DOS(E_F) (states/eV per atom)
1,-6.00,1.3,1.01
2,-7.78,7.8,1.64
3,-4.44,0.0,0.51